Entry from the Alexandria database: a relaxed structure of GeSb2TeC (PBEsol).

Unit cell a=4.734 b=4.734 c=4.760 alpha=90.00 beta=90.00 gamma=90.00
Positions (direct):
C (0.000, 0.000, 0.000)
Te (0.000, 0.000, 0.500)
Sb (0.000, 0.500, 0.000)
Sb (0.500, 0.000, 0.000)
Ge (0.500, 0.500, 0.500)

Computed properties:
D(E_F): 3.8 states/eV/cell
energy relative to the elements, uncorrected: 934 meV per atom

---

Entry from the Alexandria database: a relaxed structure of GeCSe2 (PBEsol).

Unit cell a=3.099 b=3.099 c=8.423 alpha=79.40 beta=79.40 gamma=60.00
Positions (direct):
Se (0.889, 0.889, 0.333)
Se (0.111, 0.111, 0.667)
C (0.500, 0.500, 0.500)
Ge (0.000, 0.000, 0.000)

Computed properties:
D(E_F): 2.2 states/eV/cell
energy relative to the elements, uncorrected: 1080 meV per atom

---

Entry from the Alexandria database: a relaxed structure of GeC2Se (PBEsol).

Unit cell a=4.032 b=4.032 c=4.032 alpha=60.00 beta=60.00 gamma=60.00
Positions (direct):
Ge (0.000, 0.000, 0.000)
C (0.750, 0.750, 0.750)
C (0.250, 0.250, 0.250)
Se (0.500, 0.500, 0.500)

Computed properties:
D(E_F): 1.4 states/eV/cell
energy relative to the elements, uncorrected: 2312 meV per atom

---

Entry from the Alexandria database: a relaxed structure of Si3GeC (PBEsol).

Unit cell a=4.646 b=4.646 c=4.646 alpha=90.00 beta=90.00 gamma=90.00
Positions (direct):
Ge (0.000, 0.000, 0.000)
Si (0.000, 0.500, 0.000)
Si (0.000, 0.000, 0.500)
Si (0.500, 0.000, 0.000)
C (0.500, 0.500, 0.500)

Computed properties:
D(E_F): 3.0 states/eV/cell
energy relative to the elements, uncorrected: 2248 meV per atom

---

Entry from the Alexandria database: a relaxed structure of Sn2GeC (PBEsol).

Unit cell a=4.715 b=4.715 c=4.715 alpha=60.00 beta=60.00 gamma=60.00
Positions (direct):
C (0.000, 0.000, 0.000)
Sn (0.250, 0.250, 0.250)
Sn (0.750, 0.750, 0.750)
Ge (0.500, 0.500, 0.500)

Computed properties:
D(E_F): 2.5 states/eV/cell
formation energy from the elements: 1.28 eV/atom

---

Entry from the Alexandria database: a relaxed structure of SrGeTeC2 (PBEsol).

Unit cell a=4.198 b=4.198 c=6.181 alpha=90.00 beta=90.00 gamma=90.00
Positions (direct):
C (0.000, 0.500, 0.000)
C (0.500, 0.000, 0.000)
Te (0.500, 0.500, 0.500)
Sr (0.000, 0.000, 0.500)
Ge (0.000, 0.000, 0.000)

Computed properties:
D(E_F): 3.1 states/eV/cell
energy relative to the elements, uncorrected: 1551 meV per atom

---

Question: Which value of D(E_F) does entry 5 give?
Answer: 2.5 states/eV/cell

---

Question: Which value of D(E_F) does entry 1 give?
Answer: 3.8 states/eV/cell

---

Question: The lowest D(E_F) belongs to which entry?
Answer: GeC2Se